1.
Crystalline DyPuZnGa at its relaxed geometry, computed with GGA-PBE.

formation enthalpy at 0 K	-0.31	eV/atom
magnetic moment	6.05	μB per cell

Cell lengths 5.0590, 5.0590, 5.0590 Å; angles 60.00, 60.00, 60.00 degrees
Closest atoms and distances in Å follow each position.
Fractional coordinates of all 4 atoms:
1 Zn 0.2500 0.2500 0.2500  4 Dy 3.10, 4 Pu 3.10
2 Dy 0.5000 0.5000 0.5000  4 Ga 3.10, 4 Zn 3.10
3 Ga 0.7500 0.7500 0.7500  4 Pu 3.10, 4 Dy 3.10
4 Pu 0.0000 0.0000 0.0000  4 Zn 3.10, 4 Ga 3.10

***

2.
Crystalline AlReOs4 at its relaxed geometry, computed with GGA-PBE.

formation enthalpy at 0 K	0.64	eV/atom
magnetic moment	0.00	μB per cell

Cell lengths 5.0988, 5.0988, 5.0988 Å; angles 60.00, 60.00, 60.00 degrees
Closest atoms and distances in Å follow each position.
Fractional coordinates of all 6 atoms:
1 Al 0.0000 0.0000 0.0000  12 Os 2.99, 4 Re 3.12
2 Re 0.7500 0.7500 0.7500  12 Os 2.99, 4 Al 3.12
3 Os 0.8754 0.3749 0.3749  6 Os 2.55
4 Os 0.3749 0.3749 0.8754  6 Os 2.55
5 Os 0.3749 0.8754 0.3749  6 Os 2.55
6 Os 0.3749 0.3749 0.3749  6 Os 2.55

***

3.
Crystalline CdFeHg2 at its relaxed geometry, computed with GGA-PBE.

formation enthalpy at 0 K	0.36	eV/atom
magnetic moment	2.75	μB per cell

Cell lengths 5.0461, 5.0461, 5.5577 Å; angles 77.96, 77.96, 35.52 degrees
Closest atoms and distances in Å follow each position.
Fractional coordinates of all 4 atoms:
1 Cd 0.7500 0.7500 0.7500  6 Hg 2.99-3.05, 2 Cd 3.08, 4 Fe 3.18
2 Fe 0.2500 0.2500 0.2500  6 Hg 2.82-3.07, 2 Fe 3.08
3 Hg 0.9874 0.9874 0.0190  3 Fe 2.82-3.07, 3 Cd 2.99-3.05, 4 Hg 3.05-3.08
4 Hg 0.5126 0.5126 0.4810  3 Fe 2.82-3.07, 3 Cd 2.99-3.05, 4 Hg 3.05-3.08

***

4.
Crystalline TaCu2W at its relaxed geometry, computed with GGA-PBE.

formation enthalpy at 0 K	0.23	eV/atom
energy relative to the lowest polymorph listed for this composition	0.0874	eV/atom
magnetic moment	0.00	μB per cell

Cell lengths 4.7278, 4.7278, 4.7278 Å; angles 131.34, 131.37, 71.25 degrees
Closest atoms and distances in Å follow each position.
Fractional coordinates of all 4 atoms:
1 Cu 0.0000 0.0000 0.0000  4 W 2.74, 4 Ta 2.74, 4 Cu 2.75
2 Cu 0.5000 0.5000 0.0000  4 W 2.74, 4 Ta 2.74, 4 Cu 2.75
3 Ta 0.7500 0.2500 0.5000  8 Cu 2.74, 4 W 2.75
4 W 0.2500 0.7500 0.5000  8 Cu 2.74, 4 Ta 2.75

***

5.
Crystalline EuGdSnPt at its relaxed geometry, computed with GGA-PBE.

formation enthalpy at 0 K	-0.75	eV/atom
magnetic moment	13.97	μB per cell

Cell lengths 5.2488, 5.2488, 5.2488 Å; angles 60.00, 60.00, 60.00 degrees
Closest atoms and distances in Å follow each position.
Fractional coordinates of all 4 atoms:
1 Eu 0.7500 0.7500 0.7500  4 Sn 3.21, 4 Pt 3.21
2 Gd 0.2500 0.2500 0.2500  4 Sn 3.21, 4 Pt 3.21
3 Sn 0.0000 0.0000 0.0000  4 Eu 3.21, 4 Gd 3.21
4 Pt 0.5000 0.5000 0.5000  4 Gd 3.21, 4 Eu 3.21

***

6.
Crystalline Ca2LaCoPb at its relaxed geometry, computed with GGA-PBE.

formation enthalpy at 0 K	-0.17	eV/atom
magnetic moment	0.00	μB per cell

Cell lengths 5.4273, 5.4273, 5.0569 Å; angles 90.00, 90.00, 90.00 degrees
Closest atoms and distances in Å follow each position.
Fractional coordinates of all 5 atoms:
1 Pb 0.5000 0.5000 0.5000  8 Ca 3.71, 4 La 3.84
2 Ca 0.0000 0.5000 0.0000  2 Co 2.71
3 Ca 0.5000 0.0000 0.0000  2 Co 2.71
4 Co 0.0000 0.0000 0.0000  2 La 2.53, 4 Ca 2.71
5 La 0.0000 0.0000 0.5000  2 Co 2.53

***

7.
Crystalline CoRuN2 at its relaxed geometry, computed with GGA-PBE.

raw formation energy	0.17	eV/atom
energy relative to the lowest polymorph listed for this composition	0.0000	eV/atom
magnetic moment	0.00	μB per cell

Cell lengths 4.4082, 4.4082, 5.4042 Å; angles 65.93, 65.93, 90.00 degrees
Closest atoms and distances in Å follow each position.
Fractional coordinates of all 8 atoms:
1 Ru 0.0000 0.0000 0.0000  4 N 1.96
2 Ru 0.7500 0.2500 0.5000  4 N 1.96
3 Co 0.5000 0.5000 0.0000  4 N 1.87
4 Co 0.2500 0.7500 0.5000  4 N 1.87
5 N 0.6072 0.1250 0.2500  2 Co 1.87, 2 Ru 1.96
6 N 0.1428 0.6250 0.2500  2 Co 1.87, 2 Ru 1.96
7 N 0.3750 0.3928 0.7500  2 Co 1.87, 2 Ru 1.96
8 N 0.8750 0.8572 0.7500  2 Co 1.87, 2 Ru 1.96

***

8.
Crystalline Na2LaRh at its relaxed geometry, computed with GGA-PBE.

formation enthalpy at 0 K	0.33	eV/atom
energy relative to the lowest polymorph listed for this composition	0.3846	eV/atom
magnetic moment	0.00	μB per cell

Cell lengths 5.1040, 5.1040, 5.1040 Å; angles 60.00, 60.00, 60.00 degrees
Closest atoms and distances in Å follow each position.
Fractional coordinates of all 4 atoms:
1 Na 0.2500 0.2500 0.2500  4 La 3.13, 4 Rh 3.13
2 Na 0.7500 0.7500 0.7500  4 La 3.13, 4 Rh 3.13
3 Rh 0.0000 0.0000 0.0000  8 Na 3.13
4 La 0.5000 0.5000 0.5000  8 Na 3.13